Entry from the Alexandria database: a crystal of Ca2MgAl relaxed with PBEsol (SCAN).

- DOS at the Fermi energy (states/eV/atom) = 0.574
- V (Å³/cell) = 222
- crystal system = monoclinic
- formation energy from the elements (eV/f.u.) = -0.350

abc: 12.2868 3.5683 5.4914
angles: 90.00 113.00 90.00
Closest atoms and distances in Å follow each position.
Space group Cm (No. 8)
Asymmetric unit:
Ca (0.0000, 0.0000, 0.0000) (multiplicity 2)  2 Al 3.22, 4 Mg 3.35-3.37, 4 Ca 3.57-3.60
Ca (0.2049, 0.0000, 0.6813) (multiplicity 2)  4 Al 3.27-3.32, 3 Mg 3.55, 4 Ca 3.57-3.60
Mg (0.4338, 0.0000, 0.4400) (multiplicity 2)  2 Al 2.87
Al (0.2371, 0.5000, 0.2044) (multiplicity 2)  2 Mg 2.87